Computed, not measured: a relaxed TmMg2PdAu4 crystal at the PBE level of DFT.

The value obtained for the volume is 150.6 Å³ per cell. The total moment is 0.0 μB/cell. The total energy comes out at -30.58 eV/cell.

It has space group P4/mmm (No. 123), with a = 4.7271 Å, b = 4.7271 Å, c = 6.7380 Å, α = 90.00°, β = 90.00° and γ = 90.00°. The distinct sites, in fractional coordinates, are Tm at (0.0000, 0.0000, 0.0000), Mg at (0.0000, 0.0000, 0.5000), Mg at (0.5000, 0.5000, 0.0000), Pd at (0.5000, 0.5000, 0.5000) and Au at (0.0000, 0.5000, 0.2580).